[1]
A geometry-optimized BaPmGa2Pt2 structure, computed with PBE.

Unit cell a=4.4960 b=4.4960 c=8.3362 alpha=90.00 beta=90.00 gamma=120.00
With the nearest neighbours (Å) after each atom.
Space group P-3m1 (No. 164)
Inequivalent atoms, fractional coordinates:
Ba: 0.0000 0.0000 0.0000 x1  6 Ga 3.53, 6 Pt 3.58
Pm: 0.0000 0.0000 0.5000 x1  6 Pt 3.10, 6 Ga 3.15
Ga: 0.3333 0.6667 0.7139 x2  3 Pt 2.60
Pt: 0.3333 0.6667 0.2961 x2  3 Ga 2.60



[2]
A geometry-optimized MnAgRuSe2 structure, computed with PBE.

Unit cell a=4.8929 b=4.8929 c=4.4864 alpha=90.00 beta=90.00 gamma=90.00
With the nearest neighbours (Å) after each atom.
Space group P4/mmm (No. 123)
Inequivalent atoms, fractional coordinates:
Mn: 0.0000 0.0000 0.0000 x1  2 Ru 2.24
Ag: 0.5000 0.5000 0.0000 x1  8 Se 3.32, 4 Mn 3.46
Ru: 0.0000 0.0000 0.5000 x1  2 Mn 2.24, 4 Se 2.45
Se: 0.0000 0.5000 0.5000 x2  2 Ru 2.45

Results
Its energy relative to the elements, uncorrected is 4.60 eV per formula unit.



Computed N(E_F) (states/eV/cell) in order:
2.41, 7.62
Computed energy (eV/atom) in order:
-5.05, -4.73